Al2Zn2Ga7 | PBE | optimized geometry

abc: 5.9597 6.1165 5.9597
angles: 90.02 93.40 89.98
Fractional positions:
Ga  0.5000  0.7064  0.5000
Ga  0.0000  0.2642  0.4999
Zn  0.7090  0.9999  0.2910
Al  0.1647  0.5000  0.1647
Ga  0.0000  0.7358  0.5001
Ga  0.5000  0.2936  0.5000
Al  0.8353  0.5000  0.8353
Ga  0.5001  0.2642  0.0000
Ga  0.4999  0.7358  0.0000
Ga  0.0000  0.0000  0.0000
Zn  0.2910  0.0001  0.7090

## Properties
Volume in Å³ per cell: 216.86
Energy of formation from the pure elements in eV per atom: 0.10
Space-group type: Cmmm (65)

Al2Zn2Ga | PBE | optimized geometry

abc: 7.8528 7.8528 2.7995
angles: 90.00 90.00 90.00
Fractional positions:
Al  0.3290  0.1710  0.5000
Zn  0.8735  0.6265  0.0000
Ga  0.5000  0.5000  0.0000
Zn  0.1265  0.3735  0.0000
Al  0.6710  0.8290  0.5000
Zn  0.6265  0.1265  0.0000
Al  0.1710  0.6710  0.5000
Zn  0.3735  0.8735  0.0000
Al  0.8290  0.3290  0.5000
Ga  0.0000  0.0000  0.0000

## Properties
Volume in Å³ per cell: 172.64
Energy of formation from the pure elements in eV per atom: 0.10
Space-group type: P4/mbm (127)

Al3Zn2Ga | PBE | optimized geometry

abc: 2.8554 2.8554 27.8944
angles: 90.00 90.00 120.00
Fractional positions:
Al  0.0000  0.0000  0.0000
Ga  0.0000  0.0000  0.2500
Zn  0.3333  0.6667  0.9185
Al  0.6667  0.3333  0.6634
Zn  0.3333  0.6667  0.5815
Zn  0.6667  0.3333  0.4185
Zn  0.6667  0.3333  0.0815
Al  0.3333  0.6667  0.1634
Al  0.0000  0.0000  0.5000
Ga  0.0000  0.0000  0.7500
Al  0.3333  0.6667  0.3366
Al  0.6667  0.3333  0.8366

## Properties
Volume in Å³ per cell: 196.95
Energy of formation from the pure elements in eV per atom: 0.02
Space-group type: P6_3/mmc (194)

Al6Zn4Ga | PBE | optimized geometry

abc: 4.8581 4.3120 21.6413
angles: 90.00 90.00 124.29
Fractional positions:
Zn  0.4098  0.8196  0.3732
Al  0.9444  0.8888  0.6758
Al  0.9444  0.8888  0.8242
Al  0.5000  0.0000  0.0000
Al  0.7669  0.5338  0.0915
Zn  0.4098  0.8196  0.1268
Zn  0.1361  0.2723  0.0415
Zn  0.1361  0.2723  0.4585
Al  0.5000  0.0000  0.5000
Ga  0.7325  0.4650  0.2500
Zn  0.5902  0.1804  0.6268
Zn  0.5902  0.1804  0.8732
Al  0.3742  0.7484  0.2500
Al  0.0556  0.1112  0.1758
Al  0.0556  0.1112  0.3242
Al  0.7669  0.5338  0.4085
Al  0.2331  0.4662  0.9085
Al  0.2331  0.4662  0.5915
Al  0.6258  0.2516  0.7500
Zn  0.8639  0.7277  0.5415
Zn  0.8639  0.7277  0.9585
Ga  0.2675  0.5350  0.7500

## Properties
Volume in Å³ per cell: 374.57
Energy of formation from the pure elements in eV per atom: 0.11
Space-group type: Cmcm (63)

AlZn14Ga | PBE | optimized geometry

abc: 5.5816 5.5816 7.9394
angles: 90.00 90.00 90.00
Fractional positions:
Zn  0.8750  0.3750  0.5000
Zn  0.1234  0.6266  0.2477
Zn  0.8750  0.8750  0.0000
Zn  0.3750  0.8750  0.5000
Zn  0.3750  0.3750  0.0000
Zn  0.6266  0.1234  0.2477
Zn  0.1234  0.6266  0.7523
Al  0.8750  0.8750  0.5000
Zn  0.1235  0.1235  0.7523
Zn  0.6265  0.6265  0.7523
Ga  0.3750  0.3750  0.5000
Zn  0.6265  0.6265  0.2477
Zn  0.8750  0.3750  0.0000
Zn  0.3750  0.8750  0.0000
Zn  0.6266  0.1234  0.7523
Zn  0.1235  0.1235  0.2477

## Properties
Volume in Å³ per cell: 247.35
Energy of formation from the pure elements in eV per atom: 0.03
Space-group type: P4/mmm (123)

Al6ZnGa3 | PBE | optimized geometry

abc: 6.0930 8.4734 8.4734
angles: 120.97 90.00 90.00
Fractional positions:
Al  0.1874  0.7619  0.2381
Al  0.2031  0.4568  0.8883
Ga  0.9818  0.6090  0.3910
Al  0.6887  0.6909  0.6532
Zn  0.0389  0.1460  0.8540
Ga  0.8890  0.0612  0.3009
Al  0.1887  0.6532  0.6909
Zn  0.5389  0.8540  0.1460
Al  0.2031  0.1117  0.5432
Al  0.6874  0.2381  0.7619
Al  0.2156  0.9713  0.0287
Al  0.7156  0.0287  0.9713
Ga  0.8890  0.6991  0.9388
Ga  0.3890  0.3009  0.0612
Al  0.1887  0.3091  0.3468
Al  0.7031  0.5432  0.1117
Ga  0.4818  0.3910  0.6090
Al  0.7031  0.8883  0.4568
Al  0.6887  0.3468  0.3091
Ga  0.3890  0.9388  0.6991

## Properties
Volume in Å³ per cell: 375.09
Energy of formation from the pure elements in eV per atom: 0.12
Space-group type: Cmc2_1 (36)